Compound: Li2Mn2OF6
Source: Alexandria
Functional: PBE with a Hubbard U
Structure: optimized geometry

Cell lengths 5.695, 7.026, 7.424 Å; angles 62.96, 71.34, 78.96 degrees
Element x y z (fractional)
Li 0.188 0.107 0.291
Li 0.291 0.630 0.581
Li 0.709 0.370 0.419
Li 0.812 0.893 0.709
Mn 0.160 0.083 0.779
Mn 0.278 0.638 0.092
Mn 0.722 0.362 0.908
Mn 0.840 0.917 0.221
O 0.000 0.181 0.001
O 0.000 0.819 0.999
F 0.080 0.399 0.257
F 0.184 0.783 0.308
F 0.210 0.960 0.581
F 0.342 0.329 0.594
F 0.427 0.525 0.839
F 0.475 0.881 0.887
F 0.525 0.119 0.113
F 0.573 0.475 0.161
F 0.658 0.671 0.406
F 0.790 0.040 0.419
F 0.816 0.217 0.692
F 0.920 0.601 0.743

Calculated values
Its crystal system is triclinic. The relative energy among the computed polymorphs is 0 meV per atom. Its volume is 250.30 Å³ per cell. The calculation puts the raw total energy at -5.69 eV/atom. The size of the total moment is 0.727 μB/atom.